Below is a geometry-optimized K3W2O8 structure, with properties calculated at the GGA+U level. Values from VASP.

Calculated values
Final energy = -81.5 eV per cell
Space-group type = R-3m (166)
DOS at the Fermi energy = 15.421 states/eV per cell

```
&SYSTEM
  ibrav = 0, nat = 13, ntyp = 3
/
ATOMIC_SPECIES
K 39.10 K.upf
W 183.84 W.upf
O 16.00 O.upf
CELL_PARAMETERS angstrom
6.308 0.000 0.000
3.154 5.463 0.000
3.154 1.821 7.138
ATOMIC_POSITIONS crystal
K 0.000 0.000 0.000
K 0.807 0.807 0.578
K 0.193 0.193 0.422
W 0.597 0.597 0.208
W 0.403 0.403 0.792
O 0.682 0.682 0.954
O 0.318 0.318 0.046
O 0.255 0.726 0.293
O 0.726 0.255 0.293
O 0.726 0.726 0.293
O 0.274 0.745 0.707
O 0.745 0.274 0.707
O 0.274 0.274 0.707
```